A relaxed structure of KVBi2O6, computed with PBE with a Hubbard U.

Output
Total magnetization in Bohr magnetons per cell: 0.000
E in eV/atom: -6.189

Unit cell a=10.230 b=13.318 c=6.473 alpha=90.00 beta=109.97 gamma=90.00
Space group C2/c (No. 15)
Symmetry-distinct sites (fractional):
K: 0.000 0.098 0.250 [4 per cell]
V: 0.000 0.164 0.750 [4 per cell]
Bi: 0.134 0.409 0.132 [8 per cell]
O: 0.070 0.235 0.984 [8 per cell]
O: 0.113 0.447 0.452 [8 per cell]
O: 0.127 0.083 0.709 [8 per cell]